Entry from Alexandria: an optimized crystal structure of K2NaLaBr6 (PBE-GGA).

POSCAR file:
```
K2NaLaBr6
1.0
7.840 0.000 0.000
0.000 8.275 0.000
-7.519 0.000 11.184
K Na La Br
4 2 2 12
Cartesian
-0.153 0.649 2.724
-3.912 3.489 8.315
4.233 4.787 2.868
0.473 7.627 8.460
-3.760 0.000 5.592
0.000 4.138 0.000
3.920 0.000 0.000
0.160 4.138 5.592
-5.980 1.613 10.528
-2.221 2.524 4.937
-5.101 5.830 10.469
-1.342 6.583 4.877
-2.718 0.336 8.394
1.041 3.801 2.802
-0.721 4.474 8.382
3.039 7.939 2.790
1.662 1.693 6.307
5.422 2.445 0.715
2.541 5.751 6.247
6.301 6.662 0.655
```

The mass density comes out at 3.29 Mg/m³. The uncorrected formation energy comes out at -1823 meV/atom. The total DFT energy (no corrections) comes out at -3.671 eV per atom. As for the space group: P2_1/c (14).

=====

Entry from Alexandria: an optimized crystal structure of KNaLaBr5 (PBE-GGA).

POSCAR file:
```
KNaLaBr5
1.0
4.628 -6.943 0.000
4.628 6.943 0.000
-3.746 0.000 10.160
K Na La Br
2 2 2 10
Cartesian
1.818 5.091 7.620
3.692 -5.091 2.540
3.692 4.360 2.540
1.818 -4.360 7.620
4.628 0.000 0.000
2.755 0.000 5.080
-1.900 0.817 9.661
1.981 2.560 3.873
-0.027 -0.817 4.581
1.818 1.304 7.620
5.402 2.560 1.207
0.108 -2.560 8.953
3.692 -1.304 2.540
5.537 0.817 5.579
3.529 -2.560 6.287
7.410 -0.817 0.499
```

The mass density comes out at 3.05 Mg/m³. The uncorrected formation energy comes out at -1800 meV/atom. The total DFT energy (no corrections) comes out at -3.763 eV per atom. As for the space group: C2/c (15).

=====

Entry from Alexandria: an optimized crystal structure of K2LaBrO2 (PBE-GGA).

POSCAR file:
```
K2LaBrO2
1.0
4.677 0.000 0.000
0.000 4.677 0.000
0.000 0.000 6.850
K La Br O
2 1 1 2
Cartesian
0.000 0.000 1.629
0.000 0.000 5.220
2.338 2.338 0.000
2.338 2.338 3.425
0.000 2.338 0.000
2.338 0.000 0.000
```

The mass density comes out at 3.65 Mg/m³. The uncorrected formation energy comes out at -2195 meV/atom. The total DFT energy (no corrections) comes out at -5.314 eV per atom. As for the space group: P4/mmm (123).

=====

Entry from Alexandria: an optimized crystal structure of KLa2PbBr (PBE-GGA).

POSCAR file:
```
KLa2PbBr
1.0
5.734 0.000 0.000
0.000 5.734 0.000
0.000 0.000 5.716
K La Pb Br
1 2 1 1
Cartesian
0.000 0.000 0.000
0.000 2.867 2.858
2.867 0.000 2.858
2.867 2.867 0.000
0.000 0.000 2.858
```

The mass density comes out at 5.34 Mg/m³. The uncorrected formation energy comes out at -379 meV/atom. The total DFT energy (no corrections) comes out at -3.646 eV per atom. As for the space group: P4/mmm (123).

=====

Entry from Alexandria: an optimized crystal structure of KLaPt2Br (PBE-GGA).

POSCAR file:
```
KLaPt2Br
1.0
5.414 0.000 0.000
0.000 5.414 0.000
0.000 0.000 6.063
K La Pt Br
1 1 2 1
Cartesian
0.000 0.000 0.000
2.707 2.707 3.032
0.000 2.707 3.032
2.707 0.000 3.032
2.707 2.707 0.000
```

The mass density comes out at 6.06 Mg/m³. The uncorrected formation energy comes out at -417 meV/atom. The total DFT energy (no corrections) comes out at -4.373 eV per atom. As for the space group: P4/mmm (123).

=====

Entry from Alexandria: an optimized crystal structure of KRb2LaBr6 (PBE-GGA).

POSCAR file:
```
KRb2LaBr6
1.0
8.195 0.000 0.000
0.000 8.685 0.000
-7.898 0.000 11.695
K Rb La Br
2 4 2 12
Cartesian
0.000 0.000 0.000
-3.949 4.342 5.847
-4.114 0.656 8.701
-0.165 3.686 2.854
0.463 4.998 8.841
4.412 8.028 2.993
0.149 0.000 5.847
4.098 4.342 0.000
-2.236 1.608 5.190
-6.185 2.734 11.038
-1.318 6.238 5.038
-5.267 6.789 10.885
1.098 0.412 3.085
-2.851 3.930 8.933
3.149 4.755 2.762
-0.800 8.272 8.609
5.565 1.896 0.810
1.616 2.446 6.657
6.483 5.950 0.657
2.534 7.077 6.504
```

The mass density comes out at 3.31 Mg/m³. The uncorrected formation energy comes out at -1879 meV/atom. The total DFT energy (no corrections) comes out at -3.678 eV per atom. For the energy above the most stable polymorph in this dataset, the calculation gives 0.000 eV per formula unit. As for the space group: P2_1/c (14).

=====

Entry from Alexandria: an optimized crystal structure of KRb2LaBr6 (PBE-GGA).

POSCAR file:
```
KRb2LaBr6
1.0
0.000 6.068 6.068
6.068 0.000 6.068
6.068 6.068 0.000
K Rb La Br
1 2 1 6
Cartesian
0.000 0.000 0.000
3.034 3.034 3.034
9.102 9.102 9.102
6.068 6.068 6.068
6.068 6.068 3.145
6.068 3.145 6.068
8.990 6.068 6.068
3.145 6.068 6.068
6.068 8.990 6.068
6.068 6.068 8.990
```

The mass density comes out at 3.08 Mg/m³. The uncorrected formation energy comes out at -1819 meV/atom. The total DFT energy (no corrections) comes out at -3.619 eV per atom. For the energy above the most stable polymorph in this dataset, the calculation gives 0.594 eV per formula unit. As for the space group: Fm-3m (225).

=====

Entry from Alexandria: an optimized crystal structure of KLaSbBr2 (PBE-GGA).

POSCAR file:
```
KLaSbBr2
1.0
5.498 0.000 0.000
0.000 5.498 0.000
0.000 0.000 6.183
K La Sb Br
1 1 1 2
Cartesian
0.000 0.000 0.000
2.749 2.749 3.091
0.000 0.000 3.091
0.000 2.749 0.000
2.749 0.000 0.000
```

The mass density comes out at 4.08 Mg/m³. The uncorrected formation energy comes out at -487 meV/atom. The total DFT energy (no corrections) comes out at -3.186 eV per atom. As for the space group: P4/mmm (123).

=====

Entry from Alexandria: an optimized crystal structure of KLaSe2Br (PBE-GGA).

POSCAR file:
```
KLaSe2Br
1.0
5.763 0.000 0.000
0.000 5.763 0.000
0.000 0.000 5.997
K La Se Br
1 1 2 1
Cartesian
0.000 0.000 0.000
2.882 2.882 2.999
0.000 2.882 2.999
2.882 0.000 2.999
2.882 2.882 0.000
```

The mass density comes out at 3.47 Mg/m³. The uncorrected formation energy comes out at -1380 meV/atom. The total DFT energy (no corrections) comes out at -4.313 eV per atom. As for the space group: P4/mmm (123).

=====

Entry from Alexandria: an optimized crystal structure of KSrLaBr6 (PBE-GGA).

POSCAR file:
```
KSrLaBr6
1.0
7.871 0.000 0.000
-3.935 6.816 0.000
0.000 0.000 14.102
K Sr La Br
2 2 2 12
Cartesian
0.000 0.000 0.000
0.000 0.000 7.051
0.000 4.544 3.525
3.935 2.272 10.576
0.000 4.544 10.576
3.935 2.272 3.525
-1.361 2.506 8.916
-2.445 4.384 12.237
1.361 2.506 12.237
-1.084 6.742 8.916
2.851 0.074 1.865
1.490 2.432 5.186
2.445 4.384 8.916
1.084 6.742 12.237
5.020 0.074 5.186
2.574 4.310 1.865
6.380 2.432 1.865
5.296 4.310 5.186
```

The mass density comes out at 3.27 Mg/m³. The uncorrected formation energy comes out at -1992 meV/atom. The total DFT energy (no corrections) comes out at -3.963 eV per atom. As for the space group: P-31c (163).

=====

Entry from Alexandria: an optimized crystal structure of KSrLaBr2 (PBE-GGA).

POSCAR file:
```
KSrLaBr2
1.0
5.912 0.000 0.000
0.000 5.912 0.000
0.000 0.000 8.227
K Sr La Br
1 1 1 2
Cartesian
0.000 0.000 0.000
2.956 2.956 0.000
2.956 2.956 4.113
0.000 2.956 4.113
2.956 0.000 4.113
```

The mass density comes out at 2.46 Mg/m³. The uncorrected formation energy comes out at -699 meV/atom. The total DFT energy (no corrections) comes out at -2.910 eV per atom. As for the space group: P4/mmm (123).

=====

Entry from Alexandria: an optimized crystal structure of KLaZnBr2 (PBE-GGA).

POSCAR file:
```
KLaZnBr2
1.0
5.934 0.000 0.000
0.000 5.934 0.000
0.000 0.000 6.094
K La Zn Br
1 1 1 2
Cartesian
0.000 0.000 0.000
2.967 2.967 3.047
2.967 2.967 0.000
0.000 2.967 3.047
2.967 0.000 3.047
```

The mass density comes out at 3.12 Mg/m³. The uncorrected formation energy comes out at -871 meV/atom. The total DFT energy (no corrections) comes out at -3.000 eV per atom. As for the space group: P4/mmm (123).

=====

Entry from Alexandria: an optimized crystal structure of KLi2Br (PBE-GGA).

POSCAR file:
```
KLi2Br
1.0
3.103 -6.058 0.000
3.103 6.058 0.000
0.000 0.000 3.715
K Li Br
1 2 1
Cartesian
0.000 0.000 0.000
1.551 3.029 1.858
1.551 -3.029 1.858
3.103 0.000 0.000
```

The mass density comes out at 1.58 Mg/m³. The uncorrected formation energy comes out at -314 meV/atom. The total DFT energy (no corrections) comes out at -1.963 eV per atom. For the energy above the most stable polymorph in this dataset, the calculation gives 1.425 eV per formula unit. As for the space group: Cmmm (65).

=====

Entry from Alexandria: an optimized crystal structure of KLi2Br (PBE-GGA).

POSCAR file:
```
KLi2Br
1.0
-1.937 3.680 5.347
1.937 -3.680 5.347
1.937 3.680 -5.347
K Li Br
1 2 1
Cartesian
0.000 0.000 0.000
0.000 0.000 4.185
0.000 3.680 1.547
1.937 0.000 2.632
```

The mass density comes out at 1.45 Mg/m³. The uncorrected formation energy comes out at -512 meV/atom. The total DFT energy (no corrections) comes out at -2.162 eV per atom. For the energy above the most stable polymorph in this dataset, the calculation gives 0.631 eV per formula unit. As for the space group: Imm2 (44).

=====

Entry from Alexandria: an optimized crystal structure of KLiBr (PBE-GGA).

POSCAR file:
```
KLiBr
1.0
4.488 0.000 0.000
0.000 4.488 0.000
0.000 0.000 13.784
K Li Br
2 2 2
Cartesian
1.122 1.122 1.766
3.366 3.366 12.019
1.122 3.366 6.892
3.366 1.122 6.892
1.122 1.122 8.131
3.366 3.366 5.653
```

The mass density comes out at 1.51 Mg/m³. The uncorrected formation energy comes out at -958 meV/atom. The total DFT energy (no corrections) comes out at -2.519 eV per atom. For the energy above the most stable polymorph in this dataset, the calculation gives 0.048 eV per formula unit. As for the space group: P4/nmm (129).

=====

Entry from Alexandria: an optimized crystal structure of KLi2Br (PBE-GGA).

POSCAR file:
```
KLi2Br
1.0
3.893 0.000 0.000
0.000 3.893 0.000
0.000 0.000 7.580
K Li Br
1 2 1
Cartesian
0.000 0.000 0.000
0.000 0.000 3.942
1.947 1.947 2.608
1.947 1.947 5.316
```

The mass density comes out at 1.92 Mg/m³. The uncorrected formation energy comes out at -621 meV/atom. The total DFT energy (no corrections) comes out at -2.270 eV per atom. For the energy above the most stable polymorph in this dataset, the calculation gives 0.196 eV per formula unit. As for the space group: P4mm (99).

=====

Entry from Alexandria: an optimized crystal structure of KLiBr2 (PBE-GGA).

POSCAR file:
```
KLiBr2
1.0
2.479 1.431 8.148
-2.479 1.431 8.148
0.000 -2.862 8.148
K Li Br
1 1 2
Cartesian
0.000 0.000 0.000
0.000 0.000 12.221
0.000 0.000 9.888
0.000 0.000 14.555
```

The mass density comes out at 1.97 Mg/m³. The uncorrected formation energy comes out at -1511 meV/atom. The total DFT energy (no corrections) comes out at -3.101 eV per atom. As for the space group: R-3m (166).

=====

Entry from Alexandria: an optimized crystal structure of KLiBr (PBE-GGA).

POSCAR file:
```
KLiBr
1.0
7.070 0.000 0.000
0.000 4.112 0.000
-1.298 0.000 7.499
K Li Br
2 2 2
Cartesian
1.126 0.000 2.439
4.647 0.000 5.059
0.963 2.056 6.267
4.809 2.056 1.231
0.000 2.056 0.000
3.535 0.000 0.000
```

The mass density comes out at 1.92 Mg/m³. The uncorrected formation energy comes out at -951 meV/atom. The total DFT energy (no corrections) comes out at -2.513 eV per atom. For the energy above the most stable polymorph in this dataset, the calculation gives 0.069 eV per formula unit. As for the space group: P2/m (10).

=====

Entry from Alexandria: an optimized crystal structure of KLiBr2 (PBE-GGA).

POSCAR file:
```
KLiBr2
1.0
4.284 0.000 0.000
0.000 3.825 0.000
-0.387 0.000 7.519
K Li Br
1 1 2
Cartesian
0.000 0.000 0.000
1.948 0.000 3.759
1.745 1.912 5.575
2.152 1.912 1.944
```

The mass density comes out at 2.77 Mg/m³. The uncorrected formation energy comes out at -1554 meV/atom. The total DFT energy (no corrections) comes out at -3.143 eV per atom. As for the space group: P2/m (10).

=====

Entry from Alexandria: an optimized crystal structure of KLiBr2 (PBE-GGA).

POSCAR file:
```
KLiBr2
1.0
4.355 0.000 0.000
0.000 4.355 0.000
0.000 0.000 6.796
K Li Br
1 1 2
Cartesian
0.000 0.000 0.000
2.178 2.178 3.080
0.000 0.000 3.522
2.178 2.178 0.594
```

The mass density comes out at 2.65 Mg/m³. The uncorrected formation energy comes out at -1534 meV/atom. The total DFT energy (no corrections) comes out at -3.123 eV per atom. As for the space group: P4mm (99).